(1)
VASP calculation (GGA-PBE) on Be3CuAu after structural relaxation.

Structure (CIF):
```
data_Be3CuAu
_chemical_formula_sum 'Be3 Cu1 Au1'
_symmetry_space_group_name_H-M 'P m -3 m'
_symmetry_Int_Tables_number 221
_symmetry_space_group_name_Hall '-P 4 2 3'
_cell_length_a 4.3057
_cell_length_b 4.3057
_cell_length_c 4.3057
_cell_angle_alpha 90.00
_cell_angle_beta 90.00
_cell_angle_gamma 90.00
loop_
_atom_site_label
_atom_site_type_symbol
_atom_site_fract_x
_atom_site_fract_y
_atom_site_fract_z
_atom_site_occupancy
Be1 Be 0.0000 0.0000 0.5000 1
Cu1 Cu 0.5000 0.5000 0.5000 1
Au1 Au 0.0000 0.0000 0.0000 1
```

mass density: 5.982 g cm⁻³

=====

(2)
VASP calculation (GGA-PBE) on Be3CuAu after structural relaxation.

Structure (CIF):
```
data_Be3CuAu
_chemical_formula_sum 'Be3 Cu1 Au1'
_symmetry_space_group_name_H-M 'P m -3 m'
_symmetry_Int_Tables_number 221
_symmetry_space_group_name_Hall '-P 4 2 3'
_cell_length_a 4.0240
_cell_length_b 4.0240
_cell_length_c 4.0240
_cell_angle_alpha 90.00
_cell_angle_beta 90.00
_cell_angle_gamma 90.00
loop_
_atom_site_label
_atom_site_type_symbol
_atom_site_fract_x
_atom_site_fract_y
_atom_site_fract_z
_atom_site_occupancy
Be1 Be 0.0000 0.0000 0.5000 1
Cu1 Cu 0.0000 0.0000 0.0000 1
Au1 Au 0.5000 0.5000 0.5000 1
```

mass density: 7.328 g cm⁻³

=====

Pick (2): it beats the second-best structure by 0.161 eV/atom.

=====

(1)
VASP calculation (GGA-PBE) on Be2CuAu2 after structural relaxation.

Structure (CIF):
```
data_Be2CuAu2
_chemical_formula_sum 'Be4 Cu2 Au4'
_symmetry_space_group_name_H-M 'I 4/m m m'
_symmetry_Int_Tables_number 139
_symmetry_space_group_name_Hall '-I 4 2'
_cell_length_a 3.2924
_cell_length_b 3.2924
_cell_length_c 12.5414
_cell_angle_alpha 90.00
_cell_angle_beta 90.00
_cell_angle_gamma 90.00
loop_
_atom_site_label
_atom_site_type_symbol
_atom_site_fract_x
_atom_site_fract_y
_atom_site_fract_z
_atom_site_occupancy
Be1 Be 0.0000 0.5000 0.2500 1
Cu1 Cu 0.0000 0.0000 0.0000 1
Au1 Au 0.0000 0.0000 0.3850 1
```

mass density: 11.616 g cm⁻³

=====

(2)
VASP calculation (GGA-PBE) on Be2CuAu2 after structural relaxation.

Structure (CIF):
```
data_Be2CuAu2
_chemical_formula_sum 'Be8 Cu4 Au8'
_symmetry_space_group_name_H-M 'C 1 2/m 1'
_symmetry_Int_Tables_number 12
_cell_length_a 11.3072
_cell_length_b 2.8419
_cell_length_c 9.5535
_cell_angle_alpha 90.00
_cell_angle_beta 121.11
_cell_angle_gamma 90.00
loop_
_symmetry_equiv_pos_as_xyz
'x,y,z'
'-x,-y,-z'
'-x,y,-z'
'x,-y,z'
'x+1/2,y+1/2,z'
'-x+1/2,-y+1/2,-z'
'-x+1/2,y+1/2,-z'
'x+1/2,-y+1/2,z'
loop_
_atom_site_label
_atom_site_type_symbol
_atom_site_fract_x
_atom_site_fract_y
_atom_site_fract_z
_atom_site_occupancy
Be1 Be 0.0119 0.0000 0.3893 1
Be2 Be 0.1183 0.0000 0.0502 1
Cu1 Cu 0.1964 0.0000 0.8697 1
Au1 Au 0.0386 0.5000 0.1955 1
Au2 Au 0.1776 0.5000 0.6101 1
```

mass density: 12.016 g cm⁻³

=====

Pick (1): it beats the second-best structure by 0.011 eV/atom.

=====

(1)
VASP calculation (GGA-PBE) on Be2CuAu2 after structural relaxation.

Structure (CIF):
```
data_Be2CuAu2
_chemical_formula_sum 'Be4 Cu2 Au4'
_symmetry_space_group_name_H-M 'I m m m'
_symmetry_Int_Tables_number 71
_symmetry_space_group_name_Hall '-I 2 2'
_cell_length_a 3.6780
_cell_length_b 5.0638
_cell_length_c 6.8617
_cell_angle_alpha 90.00
_cell_angle_beta 90.00
_cell_angle_gamma 90.00
loop_
_atom_site_label
_atom_site_type_symbol
_atom_site_fract_x
_atom_site_fract_y
_atom_site_fract_z
_atom_site_occupancy
Be1 Be 0.0000 0.2240 0.0000 1
Cu1 Cu 0.0000 0.0000 0.5000 1
Au1 Au 0.0000 0.5000 0.2962 1
```

mass density: 12.357 g cm⁻³

=====

(2)
VASP calculation (GGA-PBE) on Be2CuAu2 after structural relaxation.

Structure (CIF):
```
data_Be2CuAu2
_chemical_formula_sum 'Be4 Cu2 Au4'
_symmetry_space_group_name_H-M 'P 4/m b m'
_symmetry_Int_Tables_number 127
_symmetry_space_group_name_Hall '-P 4 2ab'
_cell_length_a 6.6568
_cell_length_b 6.6568
_cell_length_c 2.9169
_cell_angle_alpha 90.00
_cell_angle_beta 90.00
_cell_angle_gamma 90.00
loop_
_atom_site_label
_atom_site_type_symbol
_atom_site_fract_x
_atom_site_fract_y
_atom_site_fract_z
_atom_site_occupancy
Be1 Be 0.1292 0.3708 0.0000 1
Cu1 Cu 0.0000 0.0000 0.0000 1
Au1 Au 0.1659 0.6659 0.5000 1
```

mass density: 12.217 g cm⁻³

=====

(3)
VASP calculation (GGA-PBE) on Be2CuAu2 after structural relaxation.

Structure (CIF):
```
data_Be2CuAu2
_chemical_formula_sum 'Be4 Cu2 Au4'
_symmetry_space_group_name_H-M 'P 4/m b m'
_symmetry_Int_Tables_number 127
_symmetry_space_group_name_Hall '-P 4 2ab'
_cell_length_a 6.9113
_cell_length_b 6.9113
_cell_length_c 2.8356
_cell_angle_alpha 90.00
_cell_angle_beta 90.00
_cell_angle_gamma 90.00
loop_
_atom_site_label
_atom_site_type_symbol
_atom_site_fract_x
_atom_site_fract_y
_atom_site_fract_z
_atom_site_occupancy
Be1 Be 0.1474 0.3526 0.0000 1
Cu1 Cu 0.0000 0.0000 0.5000 1
Au1 Au 0.1511 0.6511 0.5000 1
```

mass density: 11.659 g cm⁻³

=====

Pick (2): it beats the second-best structure by 0.008 eV/atom.